Version A
FeRePt2 after structural relaxation. Source: Alexandria via LeMat-Bulk, functional PBE.

Unit cell a=9.079 b=2.738 c=4.738 alpha=90.00 beta=99.66 gamma=90.00
Space group C2/m (No. 12)
Unique sites:
Fe: 0.000 0.000 0.000 [2 per cell]
Re: 0.000 0.500 0.500 [2 per cell]
Pt: 0.250 0.000 0.750 [4 per cell]

---

Version B
FeRePt2 after structural relaxation. Source: Alexandria via LeMat-Bulk, functional PBE.

Unit cell a=2.710 b=4.438 c=4.855 alpha=90.00 beta=90.00 gamma=90.00
Space group Pmm2 (No. 25)
Unique sites:
Fe: 0.000 0.000 0.000 [1 per cell]
Re: 0.000 0.500 0.318 [1 per cell]
Pt: 0.500 0.000 0.486 [1 per cell]
Pt: 0.500 0.500 0.829 [1 per cell]

---

What should be chosen as the least stable of them? Choose version A.

---

Version A
FeRePt4 after structural relaxation. Source: Alexandria via LeMat-Bulk, functional PBE.

Unit cell a=2.762 b=2.762 c=11.771 alpha=90.00 beta=90.00 gamma=90.00
Space group P4/mmm (No. 123)
Unique sites:
Fe: 0.000 0.000 0.000 [1 per cell]
Re: 0.500 0.500 0.500 [1 per cell]
Pt: 0.000 0.000 0.338 [2 per cell]
Pt: 0.500 0.500 0.154 [2 per cell]

---

Version B
FeRePt4 after structural relaxation. Source: Alexandria via LeMat-Bulk, functional PBE.

Unit cell a=7.323 b=7.323 c=7.323 alpha=90.00 beta=90.00 gamma=90.00
Space group F-43m (No. 216)
Unique sites:
Fe: 0.000 0.000 0.000 [4 per cell]
Re: 0.250 0.250 0.250 [4 per cell]
Pt: 0.125 0.125 0.625 [16 per cell]

---

What should be chosen as the least stable of them? Choose version B.

---

Version A
Fe2Pt4Rh after structural relaxation. Source: Alexandria via LeMat-Bulk, functional PBE.

Unit cell a=7.380 b=7.380 c=8.521 alpha=90.00 beta=90.00 gamma=90.00
Space group I4/mcm (No. 140)
Unique sites:
Fe: 0.148 0.352 0.000 [8 per cell]
Pt: 0.150 0.350 0.342 [16 per cell]
Rh: 0.000 0.000 0.250 [4 per cell]

---

Version B
Fe2Pt4Rh after structural relaxation. Source: Alexandria via LeMat-Bulk, functional PBE.

Unit cell a=7.429 b=7.429 c=7.612 alpha=90.00 beta=90.00 gamma=90.00
Space group I-42d (No. 122)
Unique sites:
Fe: 0.145 0.250 0.125 [8 per cell]
Pt: 0.083 0.159 0.811 [16 per cell]
Rh: 0.000 0.000 0.500 [4 per cell]

---

What should be chosen as the least stable of them? Choose version B.

---

Version A
FePt5Rh after structural relaxation. Source: Alexandria via LeMat-Bulk, functional PBE.

Unit cell a=4.748 b=7.158 c=7.224 alpha=72.70 beta=76.71 gamma=88.39
Space group P-1 (No. 2)
Unique sites:
Fe: 0.000 0.000 0.000 [1 per cell]
Fe: 0.500 0.000 0.500 [1 per cell]
Pt: 0.078 0.116 0.310 [2 per cell]
Pt: 0.129 0.240 0.636 [2 per cell]
Pt: 0.198 0.363 0.937 [2 per cell]
Pt: 0.315 0.632 0.555 [2 per cell]
Pt: 0.369 0.772 0.879 [2 per cell]
Rh: 0.252 0.501 0.248 [2 per cell]

---

Version B
FePt5Rh after structural relaxation. Source: Alexandria via LeMat-Bulk, functional PBE.

Unit cell a=7.859 b=7.868 c=4.693 alpha=90.00 beta=90.00 gamma=90.00
Space group Imm2 (No. 44)
Unique sites:
Fe: 0.000 0.000 0.000 [2 per cell]
Pt: 0.000 0.000 0.500 [2 per cell]
Pt: 0.000 0.282 0.843 [4 per cell]
Pt: 0.218 0.500 0.657 [4 per cell]
Rh: 0.000 0.500 0.250 [2 per cell]

---

What should be chosen as the least stable of them? Choose version B.

---

Version A
FePt4Rh3 after structural relaxation. Source: Alexandria via LeMat-Bulk, functional PBE.

Unit cell a=22.413 b=2.748 c=4.057 alpha=90.00 beta=93.40 gamma=90.00
Space group C2/m (No. 12)
Unique sites:
Fe: 0.000 0.000 0.000 [2 per cell]
Pt: 0.099 0.000 0.701 [4 per cell]
Pt: 0.219 0.000 0.738 [4 per cell]
Rh: 0.000 0.500 0.500 [2 per cell]
Rh: 0.156 0.500 0.215 [4 per cell]

---

Version B
FePt4Rh3 after structural relaxation. Source: Alexandria via LeMat-Bulk, functional PBE.

Unit cell a=2.718 b=8.573 c=10.446 alpha=90.00 beta=90.00 gamma=90.00
Space group Immm (No. 71)
Unique sites:
Fe: 0.000 0.000 0.000 [2 per cell]
Pt: 0.000 0.265 0.128 [8 per cell]
Rh: 0.000 0.000 0.500 [2 per cell]
Rh: 0.000 0.500 0.295 [4 per cell]

---

What should be chosen as the least stable of them? Choose version A.

---

Version A
Fe3PtRh after structural relaxation. Source: Alexandria via LeMat-Bulk, functional PBE.

Unit cell a=4.527 b=4.527 c=4.527 alpha=90.00 beta=90.00 gamma=90.00
Space group Pm-3m (No. 221)
Unique sites:
Fe: 0.000 0.000 0.500 [3 per cell]
Pt: 0.500 0.500 0.500 [1 per cell]
Rh: 0.000 0.000 0.000 [1 per cell]

---

Version B
Fe3PtRh after structural relaxation. Source: Alexandria via LeMat-Bulk, functional PBE.

Unit cell a=5.118 b=4.628 c=11.474 alpha=90.00 beta=98.37 gamma=90.00
Space group P2/c (No. 13)
Unique sites:
Fe: 0.094 0.168 0.153 [4 per cell]
Fe: 0.206 0.339 0.552 [4 per cell]
Fe: 0.395 0.337 0.346 [4 per cell]
Pt: 0.292 0.168 0.954 [4 per cell]
Rh: 0.000 0.335 0.750 [2 per cell]
Rh: 0.500 0.159 0.750 [2 per cell]

---

What should be chosen as the least stable of them? Choose version A.

---

Version A
FePt3Rh after structural relaxation. Source: Alexandria via LeMat-Bulk, functional PBE.

Unit cell a=2.718 b=8.139 c=7.284 alpha=90.00 beta=90.00 gamma=90.00
Space group Pmmn (No. 59, origin choice 2)
Unique sites:
Fe: 0.250 0.250 0.121 [2 per cell]
Pt: 0.250 0.524 0.709 [4 per cell]
Pt: 0.250 0.750 0.177 [2 per cell]
Rh: 0.250 0.250 0.486 [2 per cell]

---

Version B
FePt3Rh after structural relaxation. Source: Alexandria via LeMat-Bulk, functional PBE.

Unit cell a=3.896 b=19.610 c=3.876 alpha=90.00 beta=90.00 gamma=90.00
Space group Cmcm (No. 63)
Unique sites:
Fe: 0.000 0.151 0.250 [4 per cell]
Pt: 0.000 0.055 0.750 [4 per cell]
Pt: 0.000 0.249 0.750 [4 per cell]
Pt: 0.000 0.448 0.750 [4 per cell]
Rh: 0.000 0.350 0.250 [4 per cell]

---

Version C
FePt3Rh after structural relaxation. Source: Alexandria via LeMat-Bulk, functional PBE.

Unit cell a=4.524 b=4.524 c=4.524 alpha=90.00 beta=90.00 gamma=90.00
Space group Pm-3m (No. 221)
Unique sites:
Fe: 0.000 0.000 0.000 [1 per cell]
Pt: 0.000 0.000 0.500 [3 per cell]
Rh: 0.500 0.500 0.500 [1 per cell]

---

What should be chosen as the least stable of them? Choose version C.

---

Version A
FePtRh3 after structural relaxation. Source: Alexandria via LeMat-Bulk, functional PBE.

Unit cell a=4.040 b=13.108 c=5.391 alpha=90.00 beta=90.00 gamma=90.00
Space group Cmcm (No. 63)
Unique sites:
Fe: 0.000 0.194 0.250 [4 per cell]
Pt: 0.000 0.002 0.250 [4 per cell]
Rh: 0.000 0.202 0.750 [4 per cell]
Rh: 0.000 0.390 0.503 [8 per cell]

---

Version B
FePtRh3 after structural relaxation. Source: Alexandria via LeMat-Bulk, functional PBE.

Unit cell a=4.376 b=4.376 c=4.376 alpha=90.00 beta=90.00 gamma=90.00
Space group Pm-3m (No. 221)
Unique sites:
Fe: 0.000 0.000 0.000 [1 per cell]
Pt: 0.500 0.500 0.500 [1 per cell]
Rh: 0.000 0.000 0.500 [3 per cell]

---

Version C
FePtRh3 after structural relaxation. Source: Alexandria via LeMat-Bulk, functional PBE.

Unit cell a=5.134 b=7.117 c=8.824 alpha=90.00 beta=90.00 gamma=90.00
Space group Imma (No. 74)
Unique sites:
Fe: 0.000 0.250 0.021 [4 per cell]
Pt: 0.000 0.000 0.500 [4 per cell]
Rh: 0.000 0.250 0.716 [4 per cell]
Rh: 0.250 0.073 0.250 [8 per cell]

---

What should be chosen as the least stable of them? Choose version B.

---

Version A
Fe6PtRh after structural relaxation. Source: Alexandria via LeMat-Bulk, functional PBE.

Unit cell a=7.557 b=10.332 c=10.337 alpha=90.00 beta=90.00 gamma=90.00
Space group Cmmm (No. 65)
Unique sites:
Fe: 0.000 0.000 0.000 [2 per cell]
Fe: 0.000 0.000 0.500 [2 per cell]
Fe: 0.000 0.248 0.248 [8 per cell]
Fe: 0.000 0.500 0.000 [2 per cell]
Fe: 0.000 0.500 0.500 [2 per cell]
Fe: 0.249 0.125 0.374 [16 per cell]
Fe: 0.249 0.126 0.125 [16 per cell]
Pt: 0.000 0.250 0.500 [4 per cell]
Pt: 0.000 0.500 0.249 [4 per cell]
Rh: 0.000 0.000 0.249 [4 per cell]
Rh: 0.000 0.249 0.000 [4 per cell]

---

Version B
Fe6PtRh after structural relaxation. Source: Alexandria via LeMat-Bulk, functional PBE.

Unit cell a=5.883 b=5.883 c=2.994 alpha=90.00 beta=90.00 gamma=90.00
Space group P4/mmm (No. 123)
Unique sites:
Fe: 0.000 0.500 0.000 [2 per cell]
Fe: 0.247 0.247 0.500 [4 per cell]
Pt: 0.500 0.500 0.000 [1 per cell]
Rh: 0.000 0.000 0.000 [1 per cell]

---

What should be chosen as the least stable of them? Choose version A.

---

Version A
Fe2Pt6Rh after structural relaxation. Source: Alexandria via LeMat-Bulk, functional PBE.

Unit cell a=8.736 b=3.907 c=8.287 alpha=90.00 beta=108.73 gamma=90.00
Space group C2/m (No. 12)
Unique sites:
Fe: 0.166 0.000 0.223 [4 per cell]
Pt: 0.005 0.500 0.675 [4 per cell]
Pt: 0.167 0.000 0.896 [4 per cell]
Pt: 0.170 0.000 0.556 [4 per cell]
Rh: 0.000 0.500 0.000 [2 per cell]

---

Version B
Fe2Pt6Rh after structural relaxation. Source: Alexandria via LeMat-Bulk, functional PBE.

Unit cell a=8.748 b=3.917 c=8.268 alpha=90.00 beta=109.33 gamma=90.00
Space group C2/m (No. 12)
Unique sites:
Fe: 0.163 0.000 0.059 [4 per cell]
Pt: 0.011 0.500 0.843 [4 per cell]
Pt: 0.165 0.000 0.387 [4 per cell]
Pt: 0.176 0.000 0.738 [4 per cell]
Rh: 0.000 0.500 0.500 [2 per cell]

---

What should be chosen as the least stable of them? Choose version B.